Entry 1:
Compound: Nb2O5
Source: the Open Quantum Materials Database
Functional: PBE
Structure: relaxed

Cell lengths 14.672, 14.672, 14.672 Å; angles 90.98, 90.98, 164.98 degrees
Sites, in units of the cell vectors:
1 Nb 0.000 0.132 0.132
2 Nb 0.000 0.401 0.401
3 Nb 0.000 0.599 0.599
4 Nb 0.000 0.868 0.868
5 Nb 0.132 0.000 0.132
6 Nb 0.135 0.267 0.402
7 Nb 0.135 0.733 0.869
8 Nb 0.267 0.135 0.402
9 Nb 0.267 0.865 0.131
10 Nb 0.401 0.000 0.401
11 Nb 0.599 0.000 0.599
12 Nb 0.733 0.135 0.869
13 Nb 0.733 0.865 0.598
14 Nb 0.865 0.267 0.131
15 Nb 0.865 0.733 0.598
16 Nb 0.868 0.000 0.868
17 O 0.066 0.500 0.566
18 O 0.069 0.209 0.279
19 O 0.069 0.347 0.416
20 O 0.069 0.653 0.721
21 O 0.069 0.791 0.860
22 O 0.070 0.070 0.140
23 O 0.070 0.930 0.000
24 O 0.207 0.207 0.414
25 O 0.207 0.793 0.000
26 O 0.209 0.069 0.279
27 O 0.209 0.931 0.140
28 O 0.210 0.352 0.562
29 O 0.210 0.648 0.858
30 O 0.347 0.069 0.416
31 O 0.347 0.931 0.279
32 O 0.352 0.210 0.562
33 O 0.352 0.790 0.142
34 O 0.354 0.500 0.854
35 O 0.500 0.066 0.566
36 O 0.500 0.354 0.854
37 O 0.500 0.646 0.146
38 O 0.500 0.934 0.434
39 O 0.646 0.500 0.146
40 O 0.648 0.210 0.858
41 O 0.648 0.790 0.438
42 O 0.653 0.069 0.721
43 O 0.653 0.931 0.584
44 O 0.790 0.352 0.142
45 O 0.790 0.648 0.438
46 O 0.791 0.069 0.860
47 O 0.791 0.931 0.721
48 O 0.793 0.207 0.000
49 O 0.793 0.793 0.586
50 O 0.930 0.070 0.000
51 O 0.930 0.930 0.860
52 O 0.931 0.209 0.140
53 O 0.931 0.347 0.279
54 O 0.931 0.653 0.584
55 O 0.931 0.791 0.721
56 O 0.934 0.500 0.434

Results
The density comes out at 4.35 g cm⁻³. Its raw total energy is -8.9504 eV per atom.

Entry 2:
Compound: TaTlFeCo
Source: the Open Quantum Materials Database
Functional: PBE
Structure: relaxed

Cell lengths 4.462, 4.462, 4.462 Å; angles 60.00, 60.00, 60.00 degrees
Sites, in units of the cell vectors:
1 Ta 0.000 0.000 0.000
2 Tl 0.250 0.250 0.250
3 Fe 0.750 0.750 0.750
4 Co 0.500 0.500 0.500

Results
As for the energy above the most stable polymorph in this dataset: 287 meV/atom. The density comes out at 13.22 g cm⁻³.

Entry 3:
Compound: TbCuAs2
Source: the Open Quantum Materials Database
Functional: PBE
Structure: relaxed

Cell lengths 3.921, 3.921, 9.891 Å; angles 90.00, 90.00, 90.00 degrees
Sites, in units of the cell vectors:
1 Tb 0.250 0.250 0.237
2 Tb 0.750 0.750 0.763
3 Cu 0.250 0.750 0.500
4 Cu 0.750 0.250 0.500
5 As 0.250 0.250 0.659
6 As 0.250 0.750 0.000
7 As 0.750 0.250 0.000
8 As 0.750 0.750 0.341

Results
The density comes out at 8.13 g cm⁻³. Its raw total energy is -5.2449 eV per atom.

Entry 4:
Compound: DyPtNO
Source: the Open Quantum Materials Database
Functional: PBE
Structure: relaxed

Cell lengths 4.826, 4.826, 4.469 Å; angles 90.00, 90.00, 90.00 degrees
Sites, in units of the cell vectors:
1 Dy 0.250 0.750 0.000
2 Dy 0.750 0.250 0.000
3 Pt 0.250 0.250 0.498
4 Pt 0.750 0.750 0.502
5 N 0.250 0.250 0.999
6 N 0.750 0.750 0.001
7 O 0.250 0.750 0.500
8 O 0.750 0.250 0.500

Results
As for the energy above the most stable polymorph in this dataset: 402 meV/atom. The density comes out at 12.37 g cm⁻³.

Entry 5:
Compound: Hf4SnAsN2
Source: the Open Quantum Materials Database
Functional: PBE
Structure: relaxed

Cell lengths 3.338, 3.338, 13.301 Å; angles 90.00, 90.00, 120.00 degrees
Sites, in units of the cell vectors:
1 Hf 0.000 0.000 0.142
2 Hf 0.000 0.000 0.858
3 Hf 0.333 0.667 0.324
4 Hf 0.333 0.667 0.676
5 Sn 0.000 0.000 0.500
6 As 0.333 0.667 0.000
7 N 0.667 0.333 0.234
8 N 0.667 0.333 0.766

Results
The density comes out at 12.11 g cm⁻³. Its raw total energy is -9.2979 eV per atom.

Entry 6:
Compound: ReSnSeS3
Source: the Open Quantum Materials Database
Functional: PBE
Structure: relaxed

Cell lengths 6.432, 6.953, 7.414 Å; angles 62.07, 73.39, 89.12 degrees
Sites, in units of the cell vectors:
1 Re 0.000 0.197 0.000
2 Re 0.000 0.803 0.000
3 Sn 0.000 0.262 0.475
4 Sn 0.000 0.738 0.525
5 Se 0.235 0.601 0.792
6 Se 0.765 0.399 0.208
7 S 0.226 0.654 0.218
8 S 0.227 0.123 0.216
9 S 0.246 0.123 0.745
10 S 0.754 0.877 0.255
11 S 0.773 0.877 0.784
12 S 0.774 0.346 0.782

Results
As for the energy above the most stable polymorph in this dataset: 0 meV/atom. The density comes out at 5.74 g cm⁻³.

Entry 7:
Compound: NiH
Source: the Open Quantum Materials Database
Functional: PBE
Structure: relaxed

Cell lengths 2.472, 2.472, 2.483 Å; angles 90.00, 90.00, 120.00 degrees
Sites, in units of the cell vectors:
1 Ni 0.000 0.000 0.000
2 H 0.333 0.667 0.500

Results
The density comes out at 7.54 g cm⁻³. Its raw total energy is -4.3586 eV per atom.

Entry 8:
Compound: CoW4C2S
Source: the Open Quantum Materials Database
Functional: PBE
Structure: relaxed

Cell lengths 3.085, 3.085, 12.412 Å; angles 90.00, 90.00, 120.00 degrees
Sites, in units of the cell vectors:
1 Co 0.000 0.000 0.000
2 W 0.000 0.000 0.343
3 W 0.000 0.000 0.657
4 W 0.667 0.333 0.155
5 W 0.667 0.333 0.845
6 C 0.333 0.667 0.250
7 C 0.333 0.667 0.750
8 S 0.667 0.333 0.500

Results
The density comes out at 13.80 g cm⁻³. Its raw total energy is -9.9838 eV per atom.

Entry 9:
Compound: LiLuMo
Source: the Open Quantum Materials Database
Functional: PBE
Structure: relaxed

Cell lengths 4.630, 4.630, 4.630 Å; angles 60.00, 60.00, 60.00 degrees
Sites, in units of the cell vectors:
1 Li 0.000 0.000 0.000
2 Lu 0.250 0.250 0.250
3 Mo 0.500 0.500 0.500

Results
As for the energy above the most stable polymorph in this dataset: 295 meV/atom. The density comes out at 6.57 g cm⁻³.

Entry 10:
Compound: TlCu15
Source: the Open Quantum Materials Database
Functional: PBE
Structure: relaxed

Cell lengths 7.220, 42.037, 3.622 Å; angles 90.00, 90.00, 90.00 degrees
Sites, in units of the cell vectors:
1 Tl 0.179 0.153 0.000
2 Tl 0.179 0.847 0.500
3 Tl 0.821 0.153 0.500
4 Tl 0.821 0.847 0.000
5 Cu 0.119 0.221 0.500
6 Cu 0.119 0.779 0.000
7 Cu 0.123 0.265 0.000
8 Cu 0.123 0.735 0.500
9 Cu 0.125 0.308 0.500
10 Cu 0.125 0.351 0.000
11 Cu 0.125 0.394 0.500
12 Cu 0.125 0.436 0.000
13 Cu 0.125 0.479 0.500
14 Cu 0.125 0.521 0.000
15 Cu 0.125 0.564 0.500
16 Cu 0.125 0.606 0.000
17 Cu 0.125 0.649 0.500
18 Cu 0.125 0.692 0.000
19 Cu 0.367 0.224 0.000
20 Cu 0.367 0.776 0.500
21 Cu 0.373 0.266 0.500
22 Cu 0.373 0.734 0.000
23 Cu 0.375 0.308 0.000
24 Cu 0.375 0.351 0.500
25 Cu 0.375 0.394 0.000
26 Cu 0.375 0.436 0.500
27 Cu 0.375 0.479 0.000
28 Cu 0.375 0.521 0.500
29 Cu 0.375 0.564 0.000
30 Cu 0.375 0.606 0.500
31 Cu 0.375 0.649 0.000
32 Cu 0.375 0.692 0.500
33 Cu 0.387 0.183 0.500
34 Cu 0.387 0.817 0.000
35 Cu 0.613 0.183 0.000
36 Cu 0.613 0.817 0.500
37 Cu 0.625 0.308 0.500
38 Cu 0.625 0.351 0.000
39 Cu 0.625 0.394 0.500
40 Cu 0.625 0.436 0.000
41 Cu 0.625 0.479 0.500
42 Cu 0.625 0.521 0.000
43 Cu 0.625 0.564 0.500
44 Cu 0.625 0.606 0.000
45 Cu 0.625 0.649 0.500
46 Cu 0.625 0.692 0.000
47 Cu 0.627 0.266 0.000
48 Cu 0.627 0.734 0.500
49 Cu 0.633 0.224 0.500
50 Cu 0.633 0.776 0.000
51 Cu 0.875 0.308 0.000
52 Cu 0.875 0.351 0.500
53 Cu 0.875 0.394 0.000
54 Cu 0.875 0.436 0.500
55 Cu 0.875 0.479 0.000
56 Cu 0.875 0.521 0.500
57 Cu 0.875 0.564 0.000
58 Cu 0.875 0.606 0.500
59 Cu 0.875 0.649 0.000
60 Cu 0.875 0.692 0.500
61 Cu 0.877 0.265 0.500
62 Cu 0.877 0.735 0.000
63 Cu 0.881 0.221 0.000
64 Cu 0.881 0.779 0.500

Results
As for the energy above the most stable polymorph in this dataset: 3 meV/atom. The density comes out at 6.99 g cm⁻³.

Entry 11:
Compound: TmTlAsO
Source: the Open Quantum Materials Database
Functional: PBE
Structure: relaxed

Cell lengths 4.144, 4.144, 9.659 Å; angles 90.00, 90.00, 90.00 degrees
Sites, in units of the cell vectors:
1 Tm 0.250 0.250 0.098
2 Tm 0.750 0.750 0.902
3 Tl 0.250 0.750 0.500
4 Tl 0.750 0.250 0.500
5 As 0.250 0.250 0.731
6 As 0.750 0.750 0.269
7 O 0.250 0.750 0.000
8 O 0.750 0.250 0.000

Results
As for the energy above the most stable polymorph in this dataset: 0 meV/atom. The density comes out at 9.30 g cm⁻³.

Entry 12:
Compound: ThZr
Source: the Open Quantum Materials Database
Functional: PBE
Structure: relaxed

Cell lengths 4.668, 4.668, 4.668 Å; angles 60.00, 60.00, 60.00 degrees
Sites, in units of the cell vectors:
1 Th 0.000 0.000 0.000
2 Zr 0.750 0.750 0.750

Results
For the formation energy, the calculation gives 2.011 eV per atom. The density comes out at 7.47 g cm⁻³.

Entry 13:
Compound: Sr2NdTaO6
Source: the Open Quantum Materials Database
Functional: PBE
Structure: relaxed

Cell lengths 5.858, 5.996, 10.170 Å; angles 90.00, 124.83, 90.00 degrees
Sites, in units of the cell vectors:
1 Sr 0.238 0.046 0.250
2 Sr 0.238 0.454 0.750
3 Sr 0.762 0.546 0.250
4 Sr 0.762 0.954 0.750
5 Nd 0.500 0.000 0.000
6 Nd 0.500 0.500 0.500
7 Ta 0.000 0.000 0.500
8 Ta 0.000 0.500 0.000
9 O 0.125 0.224 0.945
10 O 0.125 0.276 0.445
11 O 0.225 0.687 0.950
12 O 0.225 0.813 0.450
13 O 0.328 0.035 0.729
14 O 0.328 0.465 0.229
15 O 0.672 0.535 0.771
16 O 0.672 0.965 0.271
17 O 0.775 0.187 0.550
18 O 0.775 0.313 0.050
19 O 0.875 0.724 0.555
20 O 0.875 0.776 0.055

Results
The density comes out at 6.76 g cm⁻³. Its raw total energy is -8.0661 eV per atom.

Entry 14:
Compound: NdCo3
Source: the Open Quantum Materials Database
Functional: PBE
Structure: relaxed

Cell lengths 4.432, 4.432, 4.432 Å; angles 60.00, 60.00, 60.00 degrees
Sites, in units of the cell vectors:
1 Nd 0.000 0.000 0.000
2 Co 0.250 0.250 0.250
3 Co 0.500 0.500 0.500
4 Co 0.750 0.750 0.750

Results
For the formation energy, the calculation gives 0.404 eV per atom. The density comes out at 8.66 g cm⁻³.

Entry 15:
Compound: HoAlNO
Source: the Open Quantum Materials Database
Functional: PBE
Structure: relaxed

Cell lengths 4.494, 4.494, 5.074 Å; angles 90.00, 90.00, 90.00 degrees
Sites, in units of the cell vectors:
1 Ho 0.250 0.750 0.000
2 Ho 0.750 0.250 0.000
3 Al 0.250 0.250 0.464
4 Al 0.750 0.750 0.536
5 N 0.250 0.250 0.102
6 N 0.750 0.750 0.898
7 O 0.250 0.750 0.500
8 O 0.750 0.250 0.500

Results
As for the energy above the most stable polymorph in this dataset: 365 meV/atom. The density comes out at 7.19 g cm⁻³.

Entry 16:
Compound: Cu2Ag3
Source: the Open Quantum Materials Database
Functional: PBE
Structure: relaxed

Cell lengths 4.919, 5.705, 6.061 Å; angles 76.37, 76.89, 73.23 degrees
Sites, in units of the cell vectors:
1 Cu 0.000 0.000 0.000
2 Cu 0.004 0.462 0.992
3 Cu 0.643 0.367 0.782
4 Cu 0.821 0.184 0.380
5 Ag 0.218 0.273 0.603
6 Ag 0.231 0.765 0.609
7 Ag 0.406 0.086 0.183
8 Ag 0.414 0.577 0.166
9 Ag 0.649 0.881 0.785
10 Ag 0.825 0.675 0.375

Results
As for the energy above the most stable polymorph in this dataset: 56 meV/atom. For the formation energy, the calculation gives 0.088 eV per atom. The density comes out at 9.60 g cm⁻³.

Entry 17:
Compound: LiPaAs
Source: the Open Quantum Materials Database
Functional: PBE
Structure: relaxed

Cell lengths 4.336, 4.336, 4.336 Å; angles 60.00, 60.00, 60.00 degrees
Sites, in units of the cell vectors:
1 Li 0.000 0.000 0.000
2 Pa 0.250 0.250 0.250
3 As 0.750 0.750 0.750

Results
As for the energy above the most stable polymorph in this dataset: 0 meV/atom. The density comes out at 9.01 g cm⁻³.

Entry 18:
Compound: Dy2I3
Source: the Open Quantum Materials Database
Functional: PBE
Structure: relaxed

Cell lengths 9.649, 9.649, 11.778 Å; angles 121.89, 121.89, 24.24 degrees
Sites, in units of the cell vectors:
1 Dy 0.070 0.070 0.458
2 Dy 0.371 0.371 0.225
3 Dy 0.629 0.629 0.775
4 Dy 0.930 0.930 0.542
5 I 0.164 0.164 0.006
6 I 0.283 0.283 0.381
7 I 0.459 0.459 0.765
8 I 0.541 0.541 0.235
9 I 0.717 0.717 0.619
10 I 0.836 0.836 0.994

Results
As for the energy above the most stable polymorph in this dataset: 0 meV/atom. The density comes out at 6.19 g cm⁻³.

Entry 19:
Compound: DyTlBiTe3
Source: the Open Quantum Materials Database
Functional: PBE
Structure: relaxed

Cell lengths 8.081, 8.081, 12.552 Å; angles 90.00, 90.00, 149.45 degrees
Sites, in units of the cell vectors:
1 Dy 0.000 0.000 0.000
2 Dy 0.000 0.000 0.500
3 Tl 0.290 0.710 0.750
4 Tl 0.710 0.290 0.250
5 Bi 0.390 0.610 0.250
6 Bi 0.610 0.390 0.750
7 Te 0.042 0.958 0.250
8 Te 0.359 0.641 0.008
9 Te 0.359 0.641 0.492
10 Te 0.641 0.359 0.508
11 Te 0.641 0.359 0.992
12 Te 0.958 0.042 0.750

Results
The density comes out at 7.64 g cm⁻³. Its raw total energy is -4.0043 eV per atom.